Entry 1:
The following is a PBE calculation of a geometry-optimized Mn5Nb2AlSi2 structure, from Alexandria.

extended XYZ file:
```
20
Lattice="3.4592 0.0000 0.0000 0.0000 8.8750 0.0000 0.0000 0.0000 8.8750" Properties=species:S:1:pos:R:3 pbc="T T T"
Si 0.0000 7.8052 3.3677
Si 0.0000 3.3677 1.0698
Si 0.0000 1.0698 5.5073
Si 0.0000 5.5073 7.8052
Mn 1.7296 8.3115 1.8605
Mn 1.7296 0.0000 4.4375
Mn 1.7296 4.4375 0.0000
Mn 1.7296 2.5770 5.0010
Mn 1.7296 5.0010 6.2980
Mn 1.7296 6.2980 3.8740
Mn 1.7296 0.5635 7.0145
Mn 1.7296 3.8740 2.5770
Mn 1.7296 1.8605 0.5635
Mn 1.7296 7.0145 8.3115
Al 0.0000 0.0000 0.0000
Al 0.0000 4.4375 4.4375
Nb 0.0000 2.8778 7.3153
Nb 0.0000 7.3153 5.9972
Nb 0.0000 1.5597 2.8778
Nb 0.0000 5.9972 1.5597
```

Properties
raw formation energy: -0.270 eV/atom
N(E_F): 14.16 states/eV per cell
V: 272 Å³/cell
E: -166.559 eV per cell

Entry 2:
The following is a PBE calculation of a geometry-optimized Ac2Sb2Pd3 structure, from Alexandria.

extended XYZ file:
```
7
Lattice="4.4586 0.0000 0.0000 -2.2293 5.8630 -0.0826 0.0000 -2.8013 6.6994" Properties=species:S:1:pos:R:3 pbc="T T T"
Ac 0.0000 -0.5331 5.0401
Ac 2.2293 3.5948 1.5767
Pd 2.2293 0.0000 0.0000
Pd 0.0000 3.0653 3.7666
Pd 2.2293 -0.0036 2.8503
Sb 0.0000 1.0802 1.5952
Sb 2.2293 1.9815 5.0216
```

Properties
raw formation energy: -0.856 eV/atom
N(E_F): 3.54 states/eV per cell
V: 174 Å³/cell
E: -38.030 eV per cell

Entry 3:
The following is a PBE calculation of a geometry-optimized TlCd2Hg5 structure, from Alexandria.

extended XYZ file:
```
8
Lattice="-6.0735 -0.3485 -2.3665 1.3504 -3.8028 5.1310 0.7913 6.1471 2.0485" Properties=species:S:1:pos:R:3 pbc="T T T"
Hg -0.6388 -3.0534 3.3312
Hg -1.3118 -1.1516 0.7662
Hg -3.5571 4.8193 1.6336
Hg -3.2763 -0.1571 3.1742
Hg -0.9159 1.9214 1.7942
Cd -0.2419 0.0173 4.3594
Cd -3.9539 1.7442 0.6107
Tl -2.8848 2.9171 4.1988
```

Properties
excess energy over the best structure of this formula in the dataset: 0 meV/atom
N(E_F): 0.87 states/eV per cell
calculated formation energy: 0.0088 eV per atom
V: 212 Å³/cell
E: -5.635 eV per cell

Entry 4:
The following is a PBE calculation of a geometry-optimized LiCaHo structure, from Alexandria.

extended XYZ file:
```
3
Lattice="-3.3597 -1.4437 -0.6344 1.5238 -3.3566 -0.4311 0.1948 1.2414 6.9990" Properties=species:S:1:pos:R:3 pbc="T T T"
Ho -0.4531 -0.7261 4.0519
Ca -0.0231 -0.0370 0.2064
Li -1.1649 -2.7958 1.6752
```

Properties
excess energy over the best structure of this formula in the dataset: 76 meV/atom
N(E_F): 4.50 states/eV per cell
calculated formation energy: 0.1440 eV per atom
V: 91 Å³/cell
E: -8.061 eV per cell

Entry 5:
The following is a PBE calculation of a geometry-optimized Y12Ho5In2 structure, from Alexandria.

extended XYZ file:
```
19
Lattice="-0.9411 -9.1683 1.8812 7.9532 4.1333 0.6052 -1.7479 1.8050 7.9225" Properties=species:S:1:pos:R:3 pbc="T T T"
Y 0.0662 -5.3094 6.9318
Y -0.2956 1.5151 7.2360
Y 5.1980 2.0794 3.4772
Y 5.5002 0.8234 6.7643
Y 1.0596 -7.1904 3.8351
Y 1.6531 -1.4085 2.6487
Y 0.4366 -1.7004 6.1912
Y -0.2360 -4.0534 3.6447
Y 3.6111 -1.8214 7.7603
Y 4.8276 -1.5296 4.2178
Y 4.2046 3.9604 6.5740
Y 5.5598 -4.7451 3.1730
Ho 2.4903 0.8347 5.3138
Ho 2.3375 -4.7410 1.5810
Ho 2.9267 1.5110 8.8280
Ho -0.8740 0.9025 3.9613
Ho 2.7739 -4.0647 5.0952
In -0.2984 -2.9069 0.5965
In -0.6427 -6.2614 1.2848
```

Properties
N(E_F): 30.13 states/eV per cell
calculated formation energy: -0.0100 eV per atom
V: 598 Å³/cell
E: -106.124 eV per cell

Entry 6:
The following is a PBE calculation of a geometry-optimized Zn2FeRh structure, from Alexandria.

extended XYZ file:
```
4
Lattice="4.2664 0.0000 0.0000 0.0000 2.8124 -0.0145 0.0000 0.0219 4.5003" Properties=species:S:1:pos:R:3 pbc="T T T"
Zn 0.0000 0.3724 4.2899
Zn 2.1332 0.3578 1.3327
Fe 0.0000 1.7690 2.0648
Rh 2.1332 1.7743 3.5416
```

Properties
N(E_F): 2.64 states/eV per cell
calculated formation energy: -0.1456 eV per atom
V: 54 Å³/cell
E: -18.944 eV per cell

Entry 7:
The following is a PBE calculation of a geometry-optimized Ti3Al5Ga structure, from Alexandria.

extended XYZ file:
```
18
Lattice="7.8509 0.0000 0.0000 0.0000 7.8509 0.0000 -3.9254 -3.9254 5.1618" Properties=species:S:1:pos:R:3 pbc="T T T"
Al 1.5465 2.3790 3.7842
Al 2.3790 -1.5465 3.7842
Al 6.3044 2.3790 1.3777
Al 0.0000 0.0000 0.0000
Al -2.3790 1.5465 3.7842
Al -1.5465 -2.3790 3.7842
Al 3.9254 3.9254 0.0000
Al 5.4719 6.3044 1.3777
Al 1.5465 5.4719 1.3777
Al 2.3790 1.5465 1.3777
Ti 7.0214 4.7549 0.0000
Ti 4.7549 0.8294 0.0000
Ti 0.8294 3.0960 0.0000
Ti 3.9254 3.9254 2.5809
Ti 0.0000 0.0000 2.5809
Ti 3.0960 7.0214 0.0000
Ga 0.0000 3.9254 2.5809
Ga 3.9254 0.0000 2.5809
```

Properties
N(E_F): 11.93 states/eV per cell
calculated formation energy: 0.0533 eV per atom
V: 318 Å³/cell
E: -89.890 eV per cell

Entry 8:
The following is a PBE calculation of a geometry-optimized ZrTeP2 structure, from Alexandria.

extended XYZ file:
```
4
Lattice="3.5091 0.0000 0.0000 0.0000 3.5091 0.0000 0.0000 0.0000 6.4809" Properties=species:S:1:pos:R:3 pbc="T T T"
P 0.0000 0.0000 6.2317
P 1.7545 1.7545 1.4221
Zr 1.7545 1.7545 5.2234
Te 0.0000 0.0000 3.3251
```

Properties
raw formation energy: -0.210 eV/atom
excess energy over the best structure of this formula in the dataset: 377 meV/atom
N(E_F): 2.05 states/eV per cell
V: 80 Å³/cell
E: -23.348 eV per cell